(1)
The following is a DFT calculation (PBEsol) of an optimized crystal structure of RbMgNF2.

Values from the calculation:
- Crystal system: tetragonal

Cell lengths 4.5964, 4.7810, 4.7810 Å; angles 90.00, 90.00, 90.00 degrees
Fractional coordinates of all 5 atoms:
F: 0.0000 0.0000 0.5000
F: 0.0000 0.5000 0.0000
Mg: 0.5000 0.5000 0.5000
N: 0.5000 0.0000 0.0000
Rb: 0.0000 0.0000 0.0000

=====

(2)
The following is a DFT calculation (PBEsol) of an optimized crystal structure of MgReNF2.

Values from the calculation:
- Crystal system: tetragonal

Cell lengths 3.8184, 4.1853, 4.1853 Å; angles 90.00, 90.00, 90.00 degrees
Fractional coordinates of all 5 atoms:
F: 0.0000 0.5000 0.0000
F: 0.0000 0.0000 0.5000
N: 0.5000 0.0000 0.0000
Mg: 0.5000 0.5000 0.5000
Re: 0.0000 0.0000 0.0000

=====

no.,DOS(E_F) (states/eV per atom),formation energy from raw total energies (eV/f.u.)
1,0.502,-0.24
2,0.685,-3.41